Entry 1:
Material: TbPmEr2
Method: DFT, PBE
State: relaxed

* relative energy among the computed polymorphs: 0.6 kJ/mol of atoms
* electronic total energy: -18.421 eV per cell
* V: 127.1 Å³/cell
* ΔE_f: 21 meV per atom

Unit cell a=3.5568 b=3.5568 c=10.0484 alpha=90.00 beta=90.00 gamma=90.00
Last column: nearest neighbours and their distance in Å.
Space group P4/mmm (No. 123)
Unique sites:
Tb  0.0000  0.0000  0.0000 x1  8 Er 3.53, 4 Tb 3.56
Pm  0.0000  0.0000  0.5000 x1  4 Pm 3.56, 8 Er 3.58
Er  0.5000  0.5000  0.2469 x2  4 Tb 3.53, 4 Er 3.56, 4 Pm 3.58

***

Entry 2:
Material: TbPm4Er6
Method: DFT, PBE
State: relaxed

* relative energy among the computed polymorphs: 13.2 kJ/mol of atoms
* electronic total energy: -95.382 eV per cell
* V: 742.2 Å³/cell
* ΔE_f: 302 meV per atom

Unit cell a=6.6196 b=6.6196 c=16.9387 alpha=90.00 beta=90.00 gamma=90.00
Last column: nearest neighbours and their distance in Å.
Space group I-42m (No. 121)
Unique sites:
Tb  0.0000  0.0000  0.0000 x2  8 Er 3.31-3.69, 4 Pm 3.46
Pm  0.1893  0.1893  0.8248 x8  5 Er 3.38-3.59, 1 Tb 3.46, 1 Pm 3.54
Er  0.0000  0.5000  0.0000 x4  4 Er 3.23, 2 Tb 3.31
Er  0.1783  0.1783  0.6256 x8  3 Er 3.23-3.34, 5 Pm 3.38-3.59

***

Entry 3:
Material: TbPm4Er10
Method: DFT, PBE
State: relaxed

* electronic total energy: -130.338 eV per cell
* V: 993.6 Å³/cell
* ΔE_f: 273 meV per atom

Unit cell a=11.2000 b=11.2000 c=7.9206 alpha=90.00 beta=90.00 gamma=90.00
Last column: nearest neighbours and their distance in Å.
Space group I4/mmm (No. 139)
Unique sites:
Tb  0.0000  0.0000  0.0000 x2  8 Er 3.30, 4 Pm 3.61
Pm  0.2281  0.2281  0.0000 x8  8 Er 3.46-3.53, 1 Tb 3.61
Er  0.0000  0.2083  0.2940 x16  4 Er 3.26-3.30, 1 Tb 3.30, 4 Pm 3.46-3.53
Er  0.0000  0.5000  0.2500 x4  4 Er 3.29

***

Entry 4:
Material: Tb7Pm6Er16
Method: DFT, PBE
State: relaxed

* electronic total energy: -507.407 eV per cell
* V: 3889.2 Å³/cell
* ΔE_f: 244 meV per atom

Unit cell a=15.7261 b=15.7261 c=15.7261 alpha=90.00 beta=90.00 gamma=90.00
Last column: nearest neighbours and their distance in Å.
Space group Fm-3m (No. 225)
Unique sites:
Tb  0.0000  0.0000  0.0000 x4  8 Er 3.45
Tb  0.0000  0.2500  0.2500 x24  8 Er 3.24-3.39
Pm  0.0000  0.0000  0.2707 x24  8 Er 3.57-3.62, 4 Tb 3.95
Er  0.1268  0.1268  0.1268 x32  4 Tb 3.39-3.45, 3 Er 3.54, 3 Pm 3.62
Er  0.1506  0.1506  0.3494 x32  3 Tb 3.24, 3 Er 3.54, 3 Pm 3.57

***

Entry 5:
Material: Tb2Pm3Er2
Method: DFT, PBE
State: relaxed

* relative energy among the computed polymorphs: 8.1 kJ/mol of atoms
* electronic total energy: -63.872 eV per cell
* V: 465.4 Å³/cell
* ΔE_f: 100 meV per atom

Unit cell a=3.5507 b=5.7643 c=22.7384 alpha=90.00 beta=90.00 gamma=90.00
Last column: nearest neighbours and their distance in Å.
Space group Immm (No. 71)
Unique sites:
Tb  0.0000  0.0000  0.0842 x4  4 Pm 3.46-3.66, 3 Tb 3.55-3.83, 4 Er 3.59
Pm  0.0000  0.5000  0.0000 x2  4 Tb 3.46, 2 Pm 3.55, 4 Er 3.57
Pm  0.0000  0.5000  0.2750 x4  4 Er 3.52-3.62, 6 Pm 3.55-3.57, 2 Tb 3.66
Er  0.0000  0.0000  0.3637 x4  6 Pm 3.52-3.62, 2 Er 3.55, 4 Tb 3.59

***

Entry 6:
Material: Tb12PmEr6
Method: DFT, PBE
State: relaxed

* relative energy among the computed polymorphs: 0.0 kJ/mol of atoms
* electronic total energy: -251.219 eV per cell
* V: 1882.4 Å³/cell
* ΔE_f: 208 meV per atom

Unit cell a=13.1336 b=13.1336 c=12.6010 alpha=90.00 beta=90.00 gamma=120.00
Last column: nearest neighbours and their distance in Å.
Space group R-3m (No. 166, hexagonal axes)
Unique sites:
Tb  0.0000  0.2581  0.0000 x18  6 Tb 3.32-3.52, 4 Er 3.42-3.55
Tb  0.0912  0.1824  0.7651 x18  6 Tb 3.32-3.59, 2 Er 3.67
Pm  0.0000  0.0000  0.5000 x3  6 Er 3.41
Er  0.0383  0.5191  0.1206 x18  1 Er 3.16, 1 Pm 3.41, 2 Tb 3.42

***

Entry 7:
Material: Tb2Pm3Er4
Method: DFT, PBE
State: relaxed

* relative energy among the computed polymorphs: 0.0 kJ/mol of atoms
* electronic total energy: -83.197 eV per cell
* V: 575.9 Å³/cell
* ΔE_f: 18 meV per atom

Unit cell a=11.8035 b=3.5672 c=14.6932 alpha=90.00 beta=111.42 gamma=90.00
Last column: nearest neighbours and their distance in Å.
Space group C2/m (No. 12)
Unique sites:
Tb  0.0538  0.0000  0.2208 x4  6 Er 3.55-3.56, 4 Pm 3.55-3.57, 2 Tb 3.57
Pm  0.0000  0.5000  0.0000 x2  4 Tb 3.55, 6 Er 3.56, 2 Pm 3.57
Pm  0.1098  0.5000  0.4435 x4  5 Pm 3.55-3.59, 5 Er 3.57-3.60, 2 Tb 3.57
Er  0.1691  0.0000  0.6694 x4  4 Er 3.54-3.57, 3 Tb 3.55, 5 Pm 3.57-3.60
Er  0.2226  0.5000  0.8893 x4  6 Er 3.54-3.57, 3 Tb 3.55-3.56, 3 Pm 3.56

***

Entry 8:
Material: Tb2Pm3Er8
Method: DFT, PBE
State: relaxed

* relative energy among the computed polymorphs: 1.5 kJ/mol of atoms
* electronic total energy: -113.459 eV per cell
* V: 860.7 Å³/cell
* ΔE_f: 253 meV per atom

Unit cell a=20.0965 b=7.6592 c=5.5917 alpha=90.00 beta=90.06 gamma=90.00
Last column: nearest neighbours and their distance in Å.
Space group C2/m (No. 12)
Unique sites:
Tb  0.2411  0.0000  0.4984 x4  8 Er 3.32-3.53
Pm  0.0000  0.0000  0.5000 x2  4 Er 3.13
Pm  0.0000  0.2916  0.0000 x4  1 Pm 3.19, 6 Er 3.50-3.56
Er  0.1093  0.2903  0.5005 x8  1 Pm 3.13, 3 Er 3.21-3.45, 2 Tb 3.41-3.46
Er  0.1341  0.0000  0.9995 x4  4 Pm 3.50-3.89, 2 Tb 3.52-3.53, 6 Er 3.60-3.90
Er  0.1696  0.5000  0.0014 x4  2 Tb 3.32, 4 Er 3.44-3.45

***

Entry 9:
Material: Tb15Pm2Er2
Method: DFT, PBE
State: relaxed

* electronic total energy: -247.340 eV per cell
* V: 1903.8 Å³/cell
* ΔE_f: 297 meV per atom

Unit cell a=11.1045 b=11.1045 c=17.8281 alpha=90.00 beta=90.00 gamma=120.00
Last column: nearest neighbours and their distance in Å.
Space group R-3m (No. 166, hexagonal axes)
Unique sites:
Tb  0.0000  0.3010  0.0000 x18  6 Tb 3.25-3.42
Tb  0.0000  0.5000  0.5000 x9  8 Tb 3.35-3.42, 2 Pm 3.46
Tb  0.0184  0.5092  0.1335 x18  6 Tb 3.25-3.35
Pm  0.0000  0.0000  0.0935 x6  1 Pm 3.34, 3 Tb 3.46
Er  0.0000  0.0000  0.3203 x6  15 Tb 3.90-4.22, 1 Pm 4.04

***

Entry 10:
Material: Tb9Pm11Er4
Method: DFT, PBE
State: relaxed

* electronic total energy: -221.797 eV per cell
* V: 1592.5 Å³/cell
* ΔE_f: 53 meV per atom

Unit cell a=16.9530 b=25.7291 c=3.6509 alpha=90.00 beta=90.00 gamma=90.00
Last column: nearest neighbours and their distance in Å.
Space group Cmmm (No. 65)
Unique sites:
Tb  0.0000  0.0000  0.0000 x2  2 Tb 3.65, 4 Er 3.74, 8 Pm 3.84-3.96
Tb  0.1023  0.2322  0.0000 x8  3 Tb 3.47-3.65, 1 Er 3.48, 8 Pm 3.55-3.73
Tb  0.1409  0.4269  0.0000 x8  1 Er 3.50, 8 Pm 3.55-3.76, 3 Tb 3.65-3.76
Pm  0.0000  0.1312  0.5000 x4  4 Er 3.32, 4 Tb 3.62, 2 Pm 3.65
Pm  0.0000  0.3391  0.5000 x4  4 Pm 3.65-3.83, 8 Tb 3.73-3.76
Pm  0.0000  0.5000  0.5000 x2  8 Tb 3.55, 2 Pm 3.65
Pm  0.2076  0.0000  0.5000 x4  4 Er 3.30, 2 Pm 3.65, 4 Tb 3.67
Pm  0.2241  0.3189  0.5000 x8  2 Er 3.40, 6 Tb 3.55-3.70, 3 Pm 3.65
Er  0.1573  0.1017  0.0000 x8  6 Pm 3.30-3.40, 2 Tb 3.48-3.50, 2 Er 3.65

***

Entry 11:
Material: Tb5PmEr6
Method: DFT, PBE
State: relaxed

* relative energy among the computed polymorphs: 8.9 kJ/mol of atoms
* electronic total energy: -107.924 eV per cell
* V: 761.3 Å³/cell
* ΔE_f: 110 meV per atom

Unit cell a=5.7517 b=7.4066 c=17.8710 alpha=90.00 beta=90.00 gamma=90.00
Last column: nearest neighbours and their distance in Å.
Space group Immm (No. 71)
Unique sites:
Tb  0.0000  0.0000  0.0000 x2  8 Er 3.42-3.73, 2 Pm 3.70
Tb  0.0000  0.0000  0.3467 x4  8 Er 3.31-3.48, 2 Tb 3.70
Tb  0.0000  0.5000  0.3476 x4  8 Er 3.29-3.50
Pm  0.0000  0.5000  0.0000 x2  8 Er 3.42-3.73, 2 Tb 3.70
Er  0.0000  0.2500  0.1815 x8  7 Tb 3.46-3.73, 4 Er 3.70-3.78, 1 Pm 3.73
Er  0.0000  0.2500  0.5000 x4  6 Tb 3.29-3.42, 2 Pm 3.42

***

Entry 12:
Material: Tb12Pm7Er
Method: DFT, PBE
State: relaxed

* relative energy among the computed polymorphs: 39.4 kJ/mol of atoms
* electronic total energy: -161.123 eV per cell
* V: 1458.0 Å³/cell
* ΔE_f: 641 meV per atom

Unit cell a=11.3392 b=11.3392 c=11.3392 alpha=90.00 beta=90.00 gamma=90.00
Last column: nearest neighbours and their distance in Å.
Space group Im-3m (No. 229)
Unique sites:
Tb  0.0000  0.2463  0.2463 x24  2 Pm 2.84
Pm  0.0000  0.0000  0.5000 x6  12 Tb 4.01-4.07
Pm  0.2500  0.2500  0.2500 x8  6 Tb 2.84
Er  0.0000  0.0000  0.0000 x2  12 Tb 3.95

***

Please write out number 8 again, unchanged.
Material: Tb2Pm3Er8
Method: DFT, PBE
State: relaxed

* relative energy among the computed polymorphs: 1.5 kJ/mol of atoms
* electronic total energy: -113.459 eV per cell
* V: 860.7 Å³/cell
* ΔE_f: 253 meV per atom

Unit cell a=20.0965 b=7.6592 c=5.5917 alpha=90.00 beta=90.06 gamma=90.00
Last column: nearest neighbours and their distance in Å.
Space group C2/m (No. 12)
Unique sites:
Tb  0.2411  0.0000  0.4984 x4  8 Er 3.32-3.53
Pm  0.0000  0.0000  0.5000 x2  4 Er 3.13
Pm  0.0000  0.2916  0.0000 x4  1 Pm 3.19, 6 Er 3.50-3.56
Er  0.1093  0.2903  0.5005 x8  1 Pm 3.13, 3 Er 3.21-3.45, 2 Tb 3.41-3.46
Er  0.1341  0.0000  0.9995 x4  4 Pm 3.50-3.89, 2 Tb 3.52-3.53, 6 Er 3.60-3.90
Er  0.1696  0.5000  0.0014 x4  2 Tb 3.32, 4 Er 3.44-3.45

***

Repeat the tenth record exactly.
Material: Tb9Pm11Er4
Method: DFT, PBE
State: relaxed

* electronic total energy: -221.797 eV per cell
* V: 1592.5 Å³/cell
* ΔE_f: 53 meV per atom

Unit cell a=16.9530 b=25.7291 c=3.6509 alpha=90.00 beta=90.00 gamma=90.00
Last column: nearest neighbours and their distance in Å.
Space group Cmmm (No. 65)
Unique sites:
Tb  0.0000  0.0000  0.0000 x2  2 Tb 3.65, 4 Er 3.74, 8 Pm 3.84-3.96
Tb  0.1023  0.2322  0.0000 x8  3 Tb 3.47-3.65, 1 Er 3.48, 8 Pm 3.55-3.73
Tb  0.1409  0.4269  0.0000 x8  1 Er 3.50, 8 Pm 3.55-3.76, 3 Tb 3.65-3.76
Pm  0.0000  0.1312  0.5000 x4  4 Er 3.32, 4 Tb 3.62, 2 Pm 3.65
Pm  0.0000  0.3391  0.5000 x4  4 Pm 3.65-3.83, 8 Tb 3.73-3.76
Pm  0.0000  0.5000  0.5000 x2  8 Tb 3.55, 2 Pm 3.65
Pm  0.2076  0.0000  0.5000 x4  4 Er 3.30, 2 Pm 3.65, 4 Tb 3.67
Pm  0.2241  0.3189  0.5000 x8  2 Er 3.40, 6 Tb 3.55-3.70, 3 Pm 3.65
Er  0.1573  0.1017  0.0000 x8  6 Pm 3.30-3.40, 2 Tb 3.48-3.50, 2 Er 3.65

***

> Which of these has the lowest electronic total energy?

Tb7Pm6Er16

***

> Among the records above, which one has the highest V?

Tb7Pm6Er16